Here is a relaxed Pa2Ge2Mo3 crystal from Alexandria via LeMat-Bulk. Energies are from PBE.

Summary:
ΔE_f: -0.163 eV per atom
final energy: -8.837 eV/atom
volume: 19.77 Å³/atom
space-group type: No. 12

abc: 4.2996 5.6829 6.3766
angles: 74.93 89.97 67.74
Fractional coordinates of all 7 atoms:
Pa (0.6032, 0.7939, 0.3071)
Pa (0.3968, 0.2061, 0.6929)
Ge (0.1109, 0.7784, 0.6708)
Ge (0.8891, 0.2216, 0.3292)
Mo (0.2919, 0.4164, 0.1035)
Mo (0.0000, 0.0000, 0.0000)
Mo (0.7081, 0.5836, 0.8965)